[1]
LiNi2Os | PBE | relaxed

Cell: 2.564 2.564 7.577 Å, 90.00 90.00 90.00°
Fractional coordinates of all 4 atoms:
1 Os 0.000 0.000 0.480
2 Ni 0.500 0.500 0.241
3 Ni 0.000 0.000 0.017
4 Li 0.500 0.500 0.762

Values from the calculation:
Space-group type: P4mm (99)
Energy relative to the lowest polymorph listed for this composition (kJ/mol of formula units): 64


[2]
LiNiOs2 | PBE | relaxed

Cell: 4.176 4.176 4.176 Å, 60.00 60.00 60.00°
Each line ends with the local moment (μB).
Fractional coordinates of all 4 atoms:
1 Li 0.500 0.500 0.500  0.00
2 Os 0.000 0.000 0.000  0.16
3 Os 0.750 0.750 0.750  0.03
4 Ni 0.250 0.250 0.250  0.31

Values from the calculation:
Space-group type: F-43m (216)
Energy relative to the lowest polymorph listed for this composition (kJ/mol of formula units): 29


[3]
LiNi2Os | PBE | relaxed

Cell: 2.645 2.645 7.133 Å, 90.00 90.00 90.00°
Fractional coordinates of all 4 atoms:
1 Os 0.500 0.500 0.500
2 Ni 0.000 0.000 0.258
3 Ni 0.000 0.000 0.742
4 Li 0.500 0.500 0.000

Values from the calculation:
Space-group type: P4/mmm (123)
Energy relative to the lowest polymorph listed for this composition (kJ/mol of formula units): 35


| no. | total DFT energy (no corrections) (Ry/atom) | magnetic moment (μB per cell) |
| --- | --- | --- |
| 1 | -0.4408 | 0.00 |
| 2 | -0.5401 | 0.50 |
| 3 | -0.4463 | 0.00 |